# 1
TaTl2P: PBEsol geometry, meta-GGA SCAN.

Properties
* formation energy from the elements: 0.74 eV per atom
* density of states at the Fermi level: 0.66 states/eV per atom

Cell: 3.4416 4.7151 5.6399 Å, 114.71 107.77 90.00°
Last column: nearest neighbours and their distance in Å.
Fractional positions:
P  0.0000  0.5000  0.0000  4 Tl 2.83, 4 Ta 2.92
Tl  0.2667  0.2667  0.5335  2 P 2.83, 4 Tl 2.94, 2 Ta 3.10
Tl  0.7333  0.7333  0.4665  2 P 2.83, 4 Tl 2.94, 2 Ta 3.10
Ta  0.5000  0.0000  0.0000  4 P 2.92, 8 Tl 3.10-3.26

---

# 2
TaTl2P: PBEsol geometry, meta-GGA SCAN.

Properties
* formation energy from the elements: 0.75 eV per atom
* density of states at the Fermi level: 0.72 states/eV per atom

Cell: 3.2305 4.7793 5.2260 Å, 90.00 90.00 90.00°
Last column: nearest neighbours and their distance in Å.
Fractional positions:
P  0.5000  0.0000  0.5000  4 Ta 2.88, 4 Tl 3.07
Ta  0.0000  0.5000  0.5000  4 P 2.88, 4 Tl 3.07
Tl  0.5000  0.5000  0.0000  4 Tl 2.88, 4 Ta 3.07
Tl  0.0000  0.0000  0.0000  4 Tl 2.88, 4 P 3.07

---

# 3
TaTl2P: PBEsol geometry, meta-GGA SCAN.

Properties
* formation energy from the elements: 0.28 eV per atom
* density of states at the Fermi level: 0.52 states/eV per atom

Cell: 3.2375 4.9548 6.0364 Å, 114.23 105.56 90.00°
Last column: nearest neighbours and their distance in Å.
Fractional positions:
P  0.5416  0.0416  0.0832  2 Ta 2.41
Tl  0.9798  0.4798  0.9596  4 P 3.03, 4 Tl 3.24-3.34, 2 Ta 3.26
Ta  0.2112  0.2112  0.4223  2 P 2.41
Tl  0.7675  0.7675  0.5349  4 Ta 3.02, 4 Tl 3.24-3.34, 2 P 3.31